This record from Alexandria describes a geometry-optimized BaFePb2 structure. The functional is GGA-PBEsol.

Cell: 3.543 3.543 8.174 Å, 90.00 90.00 90.00°
Space group P4/mmm (No. 123)
Asymmetric unit:
Ba: 0.000 0.000 0.000 x1
Fe: 0.000 0.000 0.500 x1
Pb: 0.500 0.500 0.312 x2

Results
E_form: 0.146 eV/atom
calculated density: 9.8 g/cm³
calculated total energy: -4.631 eV/atom

---

This record from Alexandria describes a geometry-optimized BaFePb2 structure. The functional is GGA-PBEsol.

Cell: 6.682 10.046 3.339 Å, 90.00 90.22 90.00°
Space group C2/m (No. 12)
Asymmetric unit:
Ba: 0.000 0.000 0.000 x2
Fe: 0.000 0.500 0.000 x2
Pb: 0.250 0.250 0.500 x4

Results
E_form: 0.446 eV/atom
calculated density: 9.0 g/cm³
calculated total energy: -4.331 eV/atom

---

This record from Alexandria describes a geometry-optimized BaFePb2 structure. The functional is GGA-PBEsol.

Cell: 3.448 6.057 10.480 Å, 90.00 90.00 90.00°
Space group Immm (No. 71)
Asymmetric unit:
Ba: 0.000 0.000 0.000 x2
Fe: 0.000 0.000 0.500 x2
Pb: 0.000 0.500 0.202 x4

Results
E_form: 0.183 eV/atom
calculated density: 9.2 g/cm³
calculated total energy: -4.595 eV/atom

---

This record from Alexandria describes a geometry-optimized BaFePb2 structure. The functional is GGA-PBEsol.

Cell: 7.652 7.652 7.652 Å, 90.00 90.00 90.00°
Space group F-43m (No. 216)
Asymmetric unit:
Ba: 0.000 0.000 0.000 x4
Fe: 0.250 0.250 0.750 x4
Pb: 0.000 0.000 0.500 x4
Pb: 0.250 0.250 0.250 x4

Results
E_form: 0.411 eV/atom
calculated density: 9.0 g/cm³
calculated total energy: -4.366 eV/atom

---

This record from Alexandria describes a geometry-optimized BaTiFe2Pd structure. The functional is GGA-PBEsol.

Cell: 4.785 4.785 5.104 Å, 90.00 90.00 90.00°
Space group P4/mmm (No. 123)
Asymmetric unit:
Ba: 0.000 0.000 0.000 x1
Ti: 0.500 0.500 0.500 x1
Fe: 0.000 0.500 0.000 x2
Pd: 0.000 0.000 0.500 x1

Results
E_form: 2.202 eV/atom
calculated density: 5.7 g/cm³
calculated total energy: -4.669 eV/atom

---

This record from Alexandria describes a geometry-optimized BaFePdW2 structure. The functional is GGA-PBEsol.

Cell: 4.474 4.474 5.089 Å, 90.00 90.00 90.00°
Space group P4/mmm (No. 123)
Asymmetric unit:
Ba: 0.000 0.000 0.000 x1
Fe: 0.500 0.500 0.500 x1
Pd: 0.500 0.500 0.000 x1
W: 0.000 0.500 0.500 x2

Results
E_form: 1.154 eV/atom
calculated density: 10.9 g/cm³
calculated total energy: -7.783 eV/atom